# 1
Compound: SmAlIn2
Source: Alexandria via LeMat-Bulk
Functional: PBE-GGA
Structure: optimized geometry

## Properties
Formation energy from the elements ... -210 meV/atom
SG ... R-3m

Cell lengths 4.6486, 4.6486, 6.0634 Å; angles 67.46, 67.46, 60.00 degrees
Positions (direct):
In1 0.7730 0.7730 0.6810
In2 0.2270 0.2270 0.3190
Al1 0.5000 0.5000 0.5000
Sm1 0.0000 0.0000 0.0000

# 2
Compound: Sm4AlIn
Source: Alexandria via LeMat-Bulk
Functional: PBE-GGA
Structure: optimized geometry

## Properties
Formation energy from the elements ... -62 meV/atom
SG ... R-3m

Cell lengths 5.1986, 5.1965, 9.0469 Å; angles 73.29, 73.30, 59.99 degrees
Positions (direct):
Sm1 0.3715 0.3715 0.8856
Sm2 0.6285 0.6285 0.1144
Sm3 0.1211 0.1214 0.6364
Sm4 0.8789 0.8786 0.3636
Al1 0.0000 0.0000 0.0000
In1 0.5000 0.5000 0.5000

# 3
Compound: Sm12AlIn3
Source: Alexandria via LeMat-Bulk
Functional: PBE-GGA
Structure: optimized geometry

## Properties
Formation energy from the elements ... -247 meV/atom
SG ... P4/mmm

Cell lengths 4.9107, 4.9107, 19.6724 Å; angles 90.00, 90.00, 90.00 degrees
Positions (direct):
Sm1 0.0000 0.5000 0.6259
Sm2 0.5000 0.5000 0.5000
Sm3 0.5000 0.0000 0.8791
Sm4 0.0000 0.5000 0.1209
Sm5 0.5000 0.5000 0.7525
Sm6 0.5000 0.0000 0.6259
Sm7 0.5000 0.0000 0.3741
Sm8 0.0000 0.5000 0.8791
Sm9 0.0000 0.5000 0.3741
Sm10 0.5000 0.5000 0.2475
Sm11 0.5000 0.0000 0.1209
Sm12 0.5000 0.5000 0.0000
In1 0.0000 0.0000 0.2484
In2 0.0000 0.0000 0.5000
In3 0.0000 0.0000 0.7516
Al1 0.0000 0.0000 0.0000

# 4
Compound: Sm6Al2In
Source: Alexandria via LeMat-Bulk
Functional: PBE-GGA
Structure: optimized geometry

## Properties
Formation energy from the elements ... -274 meV/atom
SG ... Immm

Cell lengths 8.8954, 8.8954, 8.8954 Å; angles 105.00, 112.12, 111.38 degrees
Positions (direct):
Sm1 0.0912 0.2758 0.8154
Sm2 0.2027 0.2426 0.4454
Sm3 0.7117 0.0327 0.3210
Sm4 0.2883 0.6093 0.3210
Sm5 0.4604 0.2758 0.1846
Sm6 0.7117 0.3907 0.6790
Sm7 0.5396 0.7242 0.8154
Sm8 0.2883 0.9673 0.6790
Sm9 0.7973 0.7574 0.5546
Sm10 0.2027 0.7574 0.9601
Sm11 0.9088 0.7242 0.1846
Sm12 0.7973 0.2426 0.0399
Al1 0.3614 0.0000 0.3614
Al2 0.6386 0.0000 0.6386
Al3 0.5000 0.3790 0.8790
Al4 0.5000 0.6210 0.1210
In1 0.0000 0.5000 0.5000
In2 0.0000 0.0000 0.0000

# 5
Compound: Sm2Al3In
Source: Alexandria via LeMat-Bulk
Functional: PBE-GGA
Structure: optimized geometry

## Properties
Formation energy from the elements ... -473 meV/atom
SG ... Pmm2

Cell lengths 3.6423, 4.6788, 8.1210 Å; angles 90.00, 90.00, 90.00 degrees
Positions (direct):
Sm1 0.0000 0.0000 0.5094
Sm2 0.0000 0.5000 0.9923
Al1 0.5000 0.0000 0.8319
Al2 0.5000 0.5000 0.6742
Al3 0.5000 0.0000 0.1580
In1 0.5000 0.5000 0.3342

# 6
Compound: Sm5Al2In2
Source: Alexandria via LeMat-Bulk
Functional: PBE-GGA
Structure: optimized geometry

## Properties
Formation energy from the elements ... -335 meV/atom
SG ... Cmce

Cell lengths 7.8458, 8.1542, 9.1772 Å; angles 116.38, 90.00, 90.00 degrees
Positions (direct):
Sm1 0.1794 0.4429 0.2672
Sm2 0.3206 0.6757 0.7328
Sm3 0.1794 0.1757 0.7328
Sm4 0.5000 0.5000 0.0000
Sm5 0.3206 0.9429 0.2672
Sm6 0.0000 0.0000 0.0000
Sm7 0.8206 0.5571 0.7328
Sm8 0.6794 0.3243 0.2672
Sm9 0.6794 0.0571 0.7328
Sm10 0.8206 0.8243 0.2672
Al1 0.8853 0.3847 0.0000
Al2 0.1147 0.6153 0.0000
Al3 0.3853 0.1153 0.0000
Al4 0.6147 0.8847 0.0000
In1 0.5000 0.7193 0.4386
In2 0.0000 0.7807 0.5614
In3 0.0000 0.2193 0.4386
In4 0.5000 0.2807 0.5614

Calculated values (states/eV per atom) of DOS at the Fermi energy for the records, taken in order: 0.396 1.636 1.615 0.938 0.341 0.974.
Calculated values (μB/f.u.) of total magnetic moment for the records, taken in order: 0.0 0.0 0.0 0.0 0.0 0.0.